(1)
First-principles (SCAN) data for Tl2SbPb at its PBEsol-relaxed geometry, as listed in Alexandria via LeMat-Bulk.

abc: 3.264 5.443 6.450
angles: 90.00 93.67 90.00
Space group Pm (No. 6)
Unique sites:
Tl  0.000  0.000  0.000 x1
Tl  0.219  0.500  0.721 x1
Sb  0.645  0.000  0.500 x1
Pb  0.582  0.500  0.229 x1

Results
formation energy (no corrections) = 0.022 eV per atom
E_tot = -64.42 eV/atom
Fermi-level density of states = 1.9 states/eV/cell
energy above the most stable polymorph in this dataset = 0.06 eV/f.u.

(2)
First-principles (SCAN) data for TiAu at its PBEsol-relaxed geometry, as listed in Alexandria via LeMat-Bulk.

abc: 3.304 3.304 5.996
angles: 90.00 90.00 90.00
Space group P4/nmm (No. 129, origin choice 2)
Unique sites:
Ti  0.250  0.250  0.136 x2
Au  0.250  0.250  0.639 x2

Results
E_tot = -43.21 eV/atom
Fermi-level density of states = 2.0 states/eV/cell
DFT formation energy = -0.61 eV/atom

(3)
First-principles (SCAN) data for CoSi2Rh at its PBEsol-relaxed geometry, as listed in Alexandria via LeMat-Bulk.

abc: 2.7443 2.7443 21.9900
angles: 90.00 90.00 120.00
Space group R-3m (No. 166, hexagonal axes)
Unique sites:
Co  0.0000  0.0000  0.0000 x3
Si  0.0000  0.0000  0.2544 x6
Rh  0.0000  0.0000  0.5000 x3

Results
formation energy (no corrections) = -0.427 eV per atom
E_tot = -18.20 eV/atom
Fermi-level density of states = 6.7 states/eV/cell
energy above the most stable polymorph in this dataset = 0.10 eV/f.u.

(4)
First-principles (SCAN) data for Ta5Mo3 at its PBEsol-relaxed geometry, as listed in Alexandria via LeMat-Bulk.

abc: 4.538 4.538 12.885
angles: 90.00 90.00 90.00
Space group I4/mmm (No. 139)
Unique sites:
Ta  0.000  0.000  0.000 x2
Ta  0.000  0.500  0.127 x8
Mo  0.000  0.000  0.248 x4
Mo  0.000  0.000  0.500 x2

Results
E_tot = -54.85 eV/atom
Fermi-level density of states = 14.7 states/eV/cell
energy above the most stable polymorph in this dataset = 0.00 eV/f.u.
DFT formation energy = -0.15 eV/atom

(5)
First-principles (SCAN) data for MnCo21B6Mo at its PBEsol-relaxed geometry, as listed in Alexandria via LeMat-Bulk.

abc: 10.279 10.279 10.279
angles: 90.00 90.00 90.00
Space group F-43m (No. 216)
Unique sites:
Mn  0.000  0.000  0.000 x4
Co  0.081  0.081  0.750 x48
Co  0.129  0.129  0.129 x16
Co  0.133  0.133  0.367 x16
Co  0.250  0.250  0.750 x4
B  0.025  0.250  0.250 x24
Mo  0.000  0.000  0.500 x4

Results
E_tot = -16.03 eV/atom
Fermi-level density of states = 97.3 states/eV/cell
DFT formation energy = -0.13 eV/atom

(6)
First-principles (SCAN) data for BeInSb2Mo at its PBEsol-relaxed geometry, as listed in Alexandria via LeMat-Bulk.

abc: 5.415 5.415 5.206
angles: 90.00 90.00 90.00
Space group P4/mmm (No. 123)
Unique sites:
Be  0.000  0.000  0.000 x1
In  0.500  0.500  0.500 x1
Sb  0.000  0.500  0.500 x2
Mo  0.500  0.500  0.000 x1

Results
formation energy (no corrections) = 1.806 eV per atom
E_tot = -27.62 eV/atom
Fermi-level density of states = 2.8 states/eV/cell

(7)
First-principles (SCAN) data for ScAl2Si at its PBEsol-relaxed geometry, as listed in Alexandria via LeMat-Bulk.

abc: 3.824 3.824 8.970
angles: 90.00 90.00 90.00
Space group I4/mmm (No. 139)
Unique sites:
Sc  0.000  0.000  0.000 x2
Al  0.000  0.500  0.250 x4
Si  0.000  0.000  0.500 x2

Results
formation energy (no corrections) = -0.402 eV per atom
E_tot = -10.34 eV/atom
Fermi-level density of states = 2.2 states/eV/cell

(8)
First-principles (SCAN) data for CrH5O4 at its PBEsol-relaxed geometry, as listed in Alexandria via LeMat-Bulk.

abc: 4.266 3.028 5.709
angles: 90.00 102.53 90.00
Space group Pm (No. 6)
Unique sites:
Cr  0.000  0.000  0.000 x1
H  0.377  0.000  0.682 x1
H  0.519  0.500  0.933 x1
H  0.586  0.246  0.244 x2
H  0.999  0.000  0.533 x1
O  0.153  0.000  0.696 x1
O  0.285  0.500  0.132 x1
O  0.716  0.500  0.861 x1
O  0.762  0.000  0.279 x1

Results
E_tot = -7.38 eV/atom
Fermi-level density of states = 0.0 states/eV/cell